Entry 1:
VASP calculation (PBE) on BaLiHgGe after structural relaxation.

The structure belongs to space group F-43m (No. 216); the cell edges are 7.648, 7.648 and 7.648 Å and the angles 90.00°, 90.00° and 90.00°. The inequivalent atoms are Ba at (0.000, 0.000, 0.000), Li at (0.000, 0.000, 0.500), Hg at (0.250, 0.250, 0.750) and Ge at (0.250, 0.250, 0.250).

The value obtained for the total energy is -2.472 eV per atom. The value obtained for the formation energy from the elements is -283 meV/atom.



Entry 2:
VASP calculation (PBE) on Ba2Mg4HgGe3 after structural relaxation.

The structure belongs to space group P-4m2 (No. 115); the cell edges are 4.728, 4.728 and 11.619 Å and the angles 90.00°, 90.00° and 90.00°. The inequivalent atoms are Ba at (0.000, 0.500, 0.245), Mg at (0.000, 0.000, 0.000), Mg at (0.000, 0.500, 0.634), Mg at (0.500, 0.500, 0.000), Hg at (0.000, 0.000, 0.500), Ge at (0.000, 0.500, 0.868) and Ge at (0.500, 0.500, 0.500).

The value obtained for the total energy is -2.860 eV per atom. The value obtained for the formation energy from the elements is -422 meV/atom.



Entry 3:
VASP calculation (PBE) on Ba2Mg3HgGe4 after structural relaxation.

The structure belongs to space group P-4m2 (No. 115); the cell edges are 4.664, 4.664 and 11.615 Å and the angles 90.00°, 90.00° and 90.00°. The inequivalent atoms are Ba at (0.000, 0.500, 0.250), Mg at (0.000, 0.000, 0.000), Mg at (0.000, 0.500, 0.628), Hg at (0.500, 0.500, 0.000), Ge at (0.000, 0.000, 0.500), Ge at (0.000, 0.500, 0.861) and Ge at (0.500, 0.500, 0.500).

The value obtained for the total energy is -3.146 eV per atom. The value obtained for the formation energy from the elements is -406 meV/atom.



Entry 4:
VASP calculation (PBE) on Ba2MgHgGe after structural relaxation.

The structure belongs to space group P4/mmm (No. 123); the cell edges are 6.488, 6.488 and 5.104 Å and the angles 90.00°, 90.00° and 90.00°. The inequivalent atoms are Ba at (0.000, 0.500, 0.000), Mg at (0.000, 0.000, 0.500), Hg at (0.500, 0.500, 0.500) and Ge at (0.500, 0.500, 0.000).

The value obtained for the total energy is -2.137 eV per atom. The value obtained for the formation energy from the elements is -65 meV/atom.



Entry 5:
VASP calculation (PBE) on BaMnHgGe2 after structural relaxation.

The structure belongs to space group P4/mmm (No. 123); the cell edges are 4.707, 4.707 and 5.242 Å and the angles 90.00°, 90.00° and 90.00°. The inequivalent atoms are Ba at (0.000, 0.000, 0.000), Mn at (0.500, 0.500, 0.500), Hg at (0.500, 0.500, 0.000) and Ge at (0.000, 0.500, 0.500).

The value obtained for the total energy is -4.321 eV per atom. The value obtained for the formation energy from the elements is -195 meV/atom.



Entry 6:
VASP calculation (PBE) on BaHgGe2N after structural relaxation.

The structure belongs to space group P4/mmm (No. 123); the cell edges are 5.389, 5.389 and 4.488 Å and the angles 90.00°, 90.00° and 90.00°. The inequivalent atoms are Ba at (0.000, 0.000, 0.000), Hg at (0.500, 0.500, 0.500), Ge at (0.000, 0.500, 0.500) and N at (0.500, 0.500, 0.000).

The value obtained for the total energy is -3.140 eV per atom.